# KZrP (PBE, relaxed)
data_KZrP
_chemical_formula_sum 'K4 Zr4 P4'
_space_group_name_H-M_alt 'F -4 3 m'
_space_group_IT_number 216
_space_group_name_Hall 'F -4 2 3'
_cell_length_a 6.836
_cell_length_b 6.836
_cell_length_c 6.836
_cell_angle_alpha 90.00
_cell_angle_beta 90.00
_cell_angle_gamma 90.00
loop_
_atom_site_label
_atom_site_type_symbol
_atom_site_fract_x
_atom_site_fract_y
_atom_site_fract_z
K1 K 0.000 0.000 0.000
Zr1 Zr 0.250 0.250 0.250
P1 P 0.250 0.250 0.750
# Calculated volume ... 26.626 A^3/atom
# Calculated formation energy ... 1.263 eV per atom

---

# K2ZrP (PBE, relaxed)
data_K2ZrP
_chemical_formula_sum 'K2 Zr1 P1'
_space_group_name_H-M_alt 'P 4/m m m'
_space_group_IT_number 123
_space_group_name_Hall '-P 4 2'
_cell_length_a 4.099
_cell_length_b 4.099
_cell_length_c 6.038
_cell_angle_alpha 90.00
_cell_angle_beta 90.00
_cell_angle_gamma 90.00
loop_
_atom_site_label
_atom_site_type_symbol
_atom_site_fract_x
_atom_site_fract_y
_atom_site_fract_z
K1 K 0.000 0.500 0.000
Zr1 Zr 0.000 0.000 0.500
P1 P 0.500 0.500 0.500
# Calculated volume ... 25.366 A^3/atom
# Calculated formation energy ... 0.294 eV per atom

---

# K2ZrP (PBE, relaxed)
data_K2ZrP
_chemical_formula_sum 'K4 Zr2 P2'
_space_group_name_H-M_alt 'C 1 m 1'
_space_group_IT_number 8
_space_group_name_Hall 'C -2y'
_cell_length_a 6.965
_cell_length_b 4.018
_cell_length_c 11.159
_cell_angle_alpha 90.00
_cell_angle_beta 100.97
_cell_angle_gamma 90.00
loop_
_atom_site_label
_atom_site_type_symbol
_atom_site_fract_x
_atom_site_fract_y
_atom_site_fract_z
K1 K 0.000 0.000 0.000
K2 K 0.188 0.000 0.614
Zr1 Zr 0.262 0.500 0.309
P1 P 0.457 0.000 0.402
# Calculated volume ... 38.322 A^3/atom
# Calculated formation energy ... -0.197 eV per atom

---

# KZrP (PBE, relaxed)
data_KZrP
_chemical_formula_sum 'K2 Zr2 P2'
_space_group_name_H-M_alt 'P 1'
_space_group_IT_number 1
_space_group_name_Hall 'P 1'
_cell_length_a 3.665
_cell_length_b 3.665
_cell_length_c 13.040
_cell_angle_alpha 82.16
_cell_angle_beta 82.09
_cell_angle_gamma 90.00
loop_
_atom_site_label
_atom_site_type_symbol
_atom_site_fract_x
_atom_site_fract_y
_atom_site_fract_z
K1 K 0.000 0.000 0.000
K2 K 0.353 0.341 0.304
Zr1 Zr 0.132 0.636 0.729
Zr2 Zr 0.707 0.211 0.575
P1 P 0.235 0.738 0.518
P2 P 0.604 0.108 0.786
# Calculated volume ... 28.634 A^3/atom
# Calculated formation energy ... -0.786 eV per atom

---

# KZrP (PBE, relaxed)
data_KZrP
_chemical_formula_sum 'K1 Zr1 P1'
_space_group_name_H-M_alt 'P 3 m 1'
_space_group_IT_number 156
_space_group_name_Hall 'P 3 -2"'
_cell_length_a 3.9287
_cell_length_b 3.9287
_cell_length_c 6.9975
_cell_angle_alpha 90.00
_cell_angle_beta 90.00
_cell_angle_gamma 120.00
loop_
_atom_site_label
_atom_site_type_symbol
_atom_site_fract_x
_atom_site_fract_y
_atom_site_fract_z
K1 K 0.0000 0.0000 0.0000
Zr1 Zr 0.3333 0.6667 0.5039
P1 P 0.6667 0.3333 0.6585
# Calculated volume ... 31.178 A^3/atom
# Calculated formation energy ... -0.307 eV per atom

---

# KZrP (PBE, relaxed)
data_KZrP
_chemical_formula_sum 'K2 Zr2 P2'
_space_group_name_H-M_alt 'P 1 21/m 1'
_space_group_IT_number 11
_space_group_name_Hall '-P 2yb'
_cell_length_a 4.928
_cell_length_b 4.174
_cell_length_c 11.035
_cell_angle_alpha 90.00
_cell_angle_beta 90.21
_cell_angle_gamma 90.00
loop_
_atom_site_label
_atom_site_type_symbol
_atom_site_fract_x
_atom_site_fract_y
_atom_site_fract_z
K1 K 0.248 0.250 0.329
Zr1 Zr 0.250 0.250 0.967
P1 P 0.251 0.750 0.106
# Calculated volume ... 37.834 A^3/atom
# Calculated formation energy ... -0.630 eV per atom

---

# K2ZrP (PBE, relaxed)
data_K2ZrP
_chemical_formula_sum 'K4 Zr2 P2'
_space_group_name_H-M_alt 'I m m 2'
_space_group_IT_number 44
_space_group_name_Hall 'I 2 -2'
_cell_length_a 3.838
_cell_length_b 6.157
_cell_length_c 12.588
_cell_angle_alpha 90.00
_cell_angle_beta 90.00
_cell_angle_gamma 90.00
loop_
_atom_site_label
_atom_site_type_symbol
_atom_site_fract_x
_atom_site_fract_y
_atom_site_fract_z
K1 K 0.000 0.000 0.000
K2 K 0.000 0.500 0.180
Zr1 Zr 0.000 0.000 0.346
P1 P 0.000 0.500 0.721
# Calculated volume ... 37.180 A^3/atom
# Calculated formation energy ... 0.051 eV per atom

---

# K2ZrP (PBE, relaxed)
data_K2ZrP
_chemical_formula_sum 'K8 Zr4 P4'
_space_group_name_H-M_alt 'I -4 2 d'
_space_group_IT_number 122
_space_group_name_Hall 'I -4 2bw'
_cell_length_a 12.215
_cell_length_b 12.215
_cell_length_c 5.063
_cell_angle_alpha 90.00
_cell_angle_beta 90.00
_cell_angle_gamma 90.00
loop_
_atom_site_label
_atom_site_type_symbol
_atom_site_fract_x
_atom_site_fract_y
_atom_site_fract_z
K1 K 0.093 0.750 0.125
Zr1 Zr 0.000 0.000 0.500
P1 P 0.000 0.000 0.000
# Calculated volume ... 47.222 A^3/atom
# Calculated formation energy ... 0.202 eV per atom

---

no.,E_tot (eV/atom)
1,-3.76
2,-3.74
3,-4.24
4,-5.80
5,-5.33
6,-5.65
7,-3.99
8,-3.84